A plane-wave DFT calculation with PBE was carried out for crystalline Pm2Dy5In at its relaxed geometry.

Lattice parameters (Å, degrees): 11.2643 7.1283 8.3168 90.00 132.29 90.00
Space group Cm (No. 8)
Inequivalent atoms, fractional coordinates:
Pm: 0.0000 0.0000 0.0000 [2 per cell]
Pm: 0.1107 0.0000 0.6844 [2 per cell]
Dy: 0.0741 0.5000 0.6831 [2 per cell]
Dy: 0.2564 0.2622 0.5141 [4 per cell]
Dy: 0.3375 0.2494 0.1746 [4 per cell]
In: 0.0169 0.5000 0.0307 [2 per cell]

Computed properties:
crystal system = monoclinic
E above lowest polymorph = 0.0022 eV per atom
VASP energy = -4.51 eV/atom
ΔE_f = -10.04 kJ per mole of atoms

---

A plane-wave DFT calculation with PBE was carried out for crystalline Ta3Br at its relaxed geometry.

Lattice parameters (Å, degrees): 9.6962 3.1828 4.9866 90.00 101.16 90.00
Space group C2/m (No. 12)
Inequivalent atoms, fractional coordinates:
Ta: 0.0000 0.0000 0.0000 [2 per cell]
Ta: 0.2460 0.5000 0.2339 [4 per cell]
Br: 0.0000 0.5000 0.5000 [2 per cell]

Computed properties:
crystal system = monoclinic
E above lowest polymorph = 0.2321 eV per atom
VASP energy = -8.72 eV/atom
formation energy (no corrections) = 56.3 kJ per mole of atoms

---

A plane-wave DFT calculation with PBE was carried out for crystalline NaLa2AlRu at its relaxed geometry.

Lattice parameters (Å, degrees): 5.5097 5.5097 5.0005 90.00 90.00 90.00
Space group P4/mmm (No. 123)
Inequivalent atoms, fractional coordinates:
Na: 0.0000 0.0000 0.0000 [1 per cell]
La: 0.0000 0.5000 0.5000 [2 per cell]
Al: 0.5000 0.5000 0.0000 [1 per cell]
Ru: 0.5000 0.5000 0.5000 [1 per cell]

Computed properties:
crystal system = tetragonal
VASP energy = -5.03 eV/atom
ΔE_f = -18.26 kJ per mole of atoms

---

A plane-wave DFT calculation with PBE was carried out for crystalline UZnAgSn at its relaxed geometry.

Lattice parameters (Å, degrees): 7.0030 7.0030 7.0030 90.00 90.00 90.00
Space group F-43m (No. 216)
Inequivalent atoms, fractional coordinates:
U: 0.0000 0.0000 0.0000 [4 per cell]
Zn: 0.2500 0.2500 0.7500 [4 per cell]
Ag: 0.2500 0.2500 0.2500 [4 per cell]
Sn: 0.0000 0.0000 0.5000 [4 per cell]

Computed properties:
crystal system = cubic
VASP energy = -4.72 eV/atom
ΔE_f = 13.40 kJ per mole of atoms

---

A plane-wave DFT calculation with PBE was carried out for crystalline CdCo2Rh at its relaxed geometry.

Lattice parameters (Å, degrees): 5.4052 7.6012 2.7243 90.00 90.00 90.00
Space group Cmmm (No. 65)
Inequivalent atoms, fractional coordinates:
Cd: 0.0000 0.0000 0.0000 [2 per cell]
Co: 0.2500 0.2500 0.5000 [4 per cell]
Rh: 0.0000 0.5000 0.0000 [2 per cell]

Computed properties:
crystal system = orthorhombic
VASP energy = -5.34 eV/atom
ΔE_f = 26.86 kJ per mole of atoms

---

A plane-wave DFT calculation with PBE was carried out for crystalline Fe2ReMo at its relaxed geometry.

Lattice parameters (Å, degrees): 6.6713 6.6713 5.1132 90.00 90.00 90.00
Space group I-42d (No. 122)
Inequivalent atoms, fractional coordinates:
Fe: 0.2446 0.7500 0.1250 [8 per cell]
Re: 0.0000 0.0000 0.0000 [4 per cell]
Mo: 0.0000 0.0000 0.5000 [4 per cell]

Computed properties:
crystal system = tetragonal
VASP energy = -9.33 eV/atom
ΔE_f = 69.40 kJ per mole of atoms

---

A plane-wave DFT calculation with PBE was carried out for crystalline Mg3In4Pb at its relaxed geometry.

Lattice parameters (Å, degrees): 10.6718 6.8457 5.5384 90.00 90.00 90.00
Space group Pmma (No. 51)
Inequivalent atoms, fractional coordinates:
Mg: 0.0000 0.0000 0.0000 [2 per cell]
Mg: 0.2500 0.0000 0.3529 [2 per cell]
Mg: 0.2500 0.5000 0.3692 [2 per cell]
In: 0.0000 0.2391 0.5000 [4 per cell]
In: 0.2500 0.2385 0.8609 [4 per cell]
Pb: 0.0000 0.5000 0.0000 [2 per cell]

Computed properties:
crystal system = orthorhombic
VASP energy = -2.46 eV/atom
ΔE_f = -3.20 kJ per mole of atoms

---

A plane-wave DFT calculation with PBE was carried out for crystalline La3Pr4Ag4 at its relaxed geometry.

Lattice parameters (Å, degrees): 5.2354 7.7507 16.6811 90.00 90.00 90.00
Space group Immm (No. 71)
Inequivalent atoms, fractional coordinates:
La: 0.0000 0.0000 0.0000 [2 per cell]
La: 0.0000 0.5000 0.1007 [4 per cell]
Pr: 0.0000 0.2741 0.3253 [8 per cell]
Ag: 0.0000 0.0000 0.1917 [4 per cell]
Ag: 0.0000 0.1845 0.5000 [4 per cell]

Computed properties:
crystal system = orthorhombic
VASP energy = -4.22 eV/atom
ΔE_f = -9.71 kJ per mole of atoms

---

A plane-wave DFT calculation with PBE was carried out for crystalline Ho2CdPb3 at its relaxed geometry.

Lattice parameters (Å, degrees): 4.5067 15.5319 4.6590 90.00 90.00 90.00
Space group Cmmm (No. 65)
Inequivalent atoms, fractional coordinates:
Ho: 0.0000 0.1521 0.0000 [4 per cell]
Cd: 0.0000 0.0000 0.5000 [2 per cell]
Pb: 0.0000 0.3277 0.5000 [4 per cell]
Pb: 0.0000 0.5000 0.0000 [2 per cell]

Computed properties:
crystal system = orthorhombic
E above lowest polymorph = 0.0000 eV per atom
VASP energy = -3.90 eV/atom
ΔE_f = -35.41 kJ per mole of atoms

---

A plane-wave DFT calculation with PBE was carried out for crystalline PmTeO5 at its relaxed geometry.

Lattice parameters (Å, degrees): 9.2021 6.6139 7.7711 90.00 114.85 90.00
Space group C2/c (No. 15)
Inequivalent atoms, fractional coordinates:
Pm: 0.0000 0.0444 0.2500 [4 per cell]
Te: 0.0000 0.5000 0.0000 [4 per cell]
O: 0.0000 0.4187 0.2500 [4 per cell]
O: 0.0078 0.2122 0.9690 [8 per cell]
O: 0.2255 0.4861 0.6143 [8 per cell]

Computed properties:
crystal system = monoclinic
E above lowest polymorph = 0.0000 eV per atom
VASP energy = -6.38 eV/atom
formation energy (no corrections) = -165.4 kJ per mole of atoms